No. 1
A plane-wave DFT calculation with GGA-PBE was carried out for a relaxed K2IrPb crystal.

abc: 3.619 3.619 10.310
angles: 90.00 90.00 90.00
Atoms (fractional coordinates):
K  0.000  0.000  0.000
K  0.500  0.500  0.412
Ir  0.500  0.500  0.778
Pb  0.000  0.000  0.660

As for the space group: P4mm (99). The calculation puts the energy of formation at 270 meV/atom. As for the uncorrected energy: -13.68 eV/f.u.



No. 2
A plane-wave DFT calculation with GGA-PBE was carried out for a relaxed K2IrPb crystal.

abc: 6.608 6.608 6.608
angles: 143.40 127.54 65.66
Atoms (fractional coordinates):
K  0.000  0.000  0.000
K  0.695  0.195  0.500
Ir  0.435  0.435  0.000
Pb  0.290  0.790  0.500

As for the space group: Imm2 (44). The calculation puts the energy of formation at 298 meV/atom. As for the uncorrected energy: -13.57 eV/f.u.



No. 3
A plane-wave DFT calculation with GGA-PBE was carried out for a relaxed KIrPb2 crystal.

abc: 6.659 6.659 6.659
angles: 151.15 125.62 62.73
Atoms (fractional coordinates):
K  0.000  0.000  0.000
Ir  0.500  0.500  0.000
Pb  0.306  0.806  0.500
Pb  0.694  0.194  0.500

As for the space group: Immm (71). The calculation puts the energy of formation at 195 meV/atom. As for the uncorrected energy: -16.59 eV/f.u.